# 1
Material: TlSe3
Method: DFT, PBE-GGA
State: relaxed

Output
Energy relative to the elements, uncorrected: -0.0046 eV/atom
Total energy: -3.21 eV per atom
Magnetization: 0.00 μB/atom

CIF file:
```
data_TlSe3
_chemical_formula_sum 'Tl2 Se6'
_cell_length_a 3.7726
_cell_length_b 6.1394
_cell_length_c 9.4129
_cell_angle_alpha 90.00
_cell_angle_beta 90.00
_cell_angle_gamma 90.00
_space_group_name_H-M_alt 'I m m m'
_space_group_IT_number 71
_space_group_name_Hall '-I 2 2'
loop_
_atom_site_label
_atom_site_fract_x
_atom_site_fract_y
_atom_site_fract_z
Tl1 0.0000 0.0000 0.0000
Se1 0.0000 0.0000 0.5000
Se2 0.0000 0.5000 0.1929
```

***

# 2
Material: Tl3Se
Method: DFT, PBE-GGA
State: relaxed

Output
Energy relative to the elements, uncorrected: -0.1956 eV/atom
Total energy: -2.84 eV per atom
Magnetization: 0.00 μB/atom

CIF file:
```
data_Tl3Se
_chemical_formula_sum 'Tl9 Se3'
_cell_length_a 4.1054
_cell_length_b 4.1054
_cell_length_c 26.4684
_cell_angle_alpha 90.00
_cell_angle_beta 90.00
_cell_angle_gamma 120.00
_space_group_name_H-M_alt 'R -3 m'
_space_group_IT_number 166
_space_group_name_Hall '-R 3 2"'
loop_
_atom_site_label
_atom_site_fract_x
_atom_site_fract_y
_atom_site_fract_z
Tl1 0.0000 0.0000 0.0000
Tl2 0.0000 0.0000 0.2368
Se1 0.0000 0.0000 0.5000
```

***

# 3
Material: TlSe2
Method: DFT, PBE-GGA
State: relaxed

Output
Energy relative to the elements, uncorrected: 0.0269 eV/atom
Total energy: -3.08 eV per atom
Magnetization: 0.00 μB/atom
Energy above the lowest structure with this stoichiometry: 204 meV/atom

CIF file:
```
data_TlSe2
_chemical_formula_sum 'Tl3 Se6'
_cell_length_a 9.8025
_cell_length_b 9.8025
_cell_length_c 3.4386
_cell_angle_alpha 90.00
_cell_angle_beta 90.00
_cell_angle_gamma 120.00
_space_group_name_H-M_alt 'P -6 2 m'
_space_group_IT_number 189
_space_group_name_Hall 'P -6 -2'
loop_
_atom_site_label
_atom_site_fract_x
_atom_site_fract_y
_atom_site_fract_z
Tl1 0.0000 0.0000 0.0000
Tl2 0.3333 0.6667 0.5000
Se1 0.0000 0.2597 0.5000
Se2 0.0000 0.4570 0.0000
```

***

# 4
Material: TlSe3
Method: DFT, PBE-GGA
State: relaxed

Output
Energy relative to the elements, uncorrected: -0.0406 eV/atom
Total energy: -3.25 eV per atom
Magnetization: 0.00 μB/atom

CIF file:
```
data_TlSe3
_chemical_formula_sum 'Tl6 Se18'
_cell_length_a 9.5210
_cell_length_b 9.5210
_cell_length_c 9.3069
_cell_angle_alpha 90.00
_cell_angle_beta 90.00
_cell_angle_gamma 120.00
_space_group_name_H-M_alt 'R -3 m'
_space_group_IT_number 166
_space_group_name_Hall '-R 3 2"'
loop_
_atom_site_label
_atom_site_fract_x
_atom_site_fract_y
_atom_site_fract_z
Tl1 0.0000 0.0000 0.1899
Se1 0.0562 0.5281 0.2205
```